Record 1
Compound: LaMgIn2
Source: Alexandria via LeMat-Bulk
Functional: PBE
Structure: relaxed

Cell: 4.996 4.996 10.674 Å, 76.47 76.47 90.00°
Fractional positions:
Mg  0.500  0.500  0.000
Mg  0.250  0.750  0.500
In  0.541  0.125  0.250
In  0.209  0.625  0.250
In  0.375  0.459  0.750
In  0.875  0.791  0.750
La  0.000  0.000  0.000
La  0.750  0.250  0.500

Properties
V, Å³/f.u.: 125.7
Space-group type: I-42d, No. 122
N(E_F), states/eV/f.u.: 2.36
Formation energy from the elements, eV/atom: -0.052

Record 2
Compound: HfOsRh2
Source: Alexandria via LeMat-Bulk
Functional: PBE
Structure: relaxed

Cell: 3.916 3.976 3.976 Å, 90.00 90.00 90.00°
Fractional positions:
Hf  0.500  0.500  0.500
Os  0.500  0.000  0.000
Rh  0.000  0.000  0.500
Rh  0.000  0.500  0.000

Properties
V, Å³/f.u.: 61.9
Space-group type: P4/mmm, No. 123
N(E_F), states/eV/f.u.: 4.78
Formation energy from the elements, eV/atom: -0.495
Excess energy over the best structure of this formula in the dataset, meV per atom: 0.0

Record 3
Compound: TlZnGaAg
Source: Alexandria via LeMat-Bulk
Functional: PBE
Structure: relaxed

Cell: 4.909 4.909 4.909 Å, 60.00 60.00 60.00°
Fractional positions:
Zn  0.250  0.250  0.250
Tl  0.750  0.750  0.750
Ga  0.500  0.500  0.500
Ag  0.000  0.000  0.000

Properties
V, Å³/f.u.: 83.7
Space-group type: F-43m, No. 216
N(E_F), states/eV/f.u.: 0.53
Formation energy from the elements, eV/atom: 0.173

Record 4
Compound: InOs2Ru
Source: Alexandria via LeMat-Bulk
Functional: PBE
Structure: relaxed

Cell: 6.206 6.206 6.206 Å, 154.14 139.06 49.06°
Fractional positions:
In  0.204  0.704  0.500
Os  0.971  0.971  0.000
Os  0.785  0.285  0.500
Ru  0.540  0.540  0.000

Properties
V, Å³/f.u.: 68.1
Space-group type: Imm2, No. 44
N(E_F), states/eV/f.u.: 3.56
Formation energy from the elements, eV/atom: 0.554

Record 5
Compound: Li2Ce2SmTl2
Source: Alexandria via LeMat-Bulk
Functional: PBE
Structure: relaxed

Cell: 4.650 4.650 9.596 Å, 75.98 75.98 60.00°
Each line ends with the local moment (μB).
Fractional positions:
Li  0.586  0.586  0.241  -0.01
Li  0.414  0.414  0.759  -0.01
Ce  0.145  0.145  0.566  0.62
Ce  0.855  0.855  0.434  0.62
Sm  0.000  0.000  0.000  0.00
Tl  0.735  0.735  0.794  -0.02
Tl  0.265  0.265  0.206  -0.02

Properties
V, Å³/f.u.: 172.5
Space-group type: R-3m, No. 166
N(E_F), states/eV/f.u.: 9.50
Formation energy from the elements, eV/atom: -0.184

Record 6
Compound: HfMgPt4
Source: Alexandria via LeMat-Bulk
Functional: PBE
Structure: relaxed

Cell: 3.795 5.090 6.509 Å, 107.23 73.05 68.11°
Fractional positions:
Hf  0.500  0.500  0.500
Mg  0.000  0.000  0.000
Pt  0.825  0.517  0.833
Pt  0.332  0.005  0.331
Pt  0.175  0.483  0.167
Pt  0.668  0.995  0.669

Properties
V, Å³/f.u.: 99.3
Space-group type: C2/m, No. 12
N(E_F), states/eV/f.u.: 3.34
Formation energy from the elements, eV/atom: -0.810

Record 7
Compound: CoRhN3
Source: Alexandria via LeMat-Bulk
Functional: PBE
Structure: relaxed

Cell: 3.624 3.624 3.624 Å, 90.00 90.00 90.00°
Fractional positions:
Co  0.000  0.000  0.000
Rh  0.500  0.500  0.500
N  0.000  0.500  0.000
N  0.000  0.000  0.500
N  0.500  0.000  0.000

Properties
V, Å³/f.u.: 47.6
Space-group type: Pm-3m, No. 221
N(E_F), states/eV/f.u.: 4.61
Raw formation energy, eV/atom: 1.549

Record 8
Compound: YInRu4
Source: Alexandria via LeMat-Bulk
Functional: PBE
Structure: relaxed

Cell: 5.276 5.276 5.276 Å, 60.00 60.00 60.00°
Fractional positions:
Y  0.750  0.750  0.750
In  0.000  0.000  0.000
Ru  0.374  0.877  0.374
Ru  0.877  0.374  0.374
Ru  0.374  0.374  0.877
Ru  0.374  0.374  0.374

Properties
V, Å³/f.u.: 103.8
Space-group type: F-43m, No. 216
N(E_F), states/eV/f.u.: 8.98
Formation energy from the elements, eV/atom: -0.047